Y2AlPb (PBE-GGA, optimized geometry); DFT total energy = -5.58 eV per atom; crystal system = orthorhombic
1.0
-1.372 1.738 -3.622
-3.284 -3.094 -0.241
-5.072 1.867 2.817
Pb Y Al
1 2 1
Direct
0.500 0.543 0.789
0.000 0.984 0.908
0.500 0.261 0.352
0.000 0.712 0.451